BaCaFeN2 | the Alexandria database | PBE | relaxed; space group = Cmme, No. 67; uncorrected formation energy = -0.27 eV per atom
1.0
3.628 -6.213 0.000
3.628 6.213 0.000
0.000 0.000 4.546
Ba Ca Fe N
2 2 2 4
direct
0.250 0.750 0.779 Ba
0.750 0.250 0.221 Ba
0.250 0.250 0.500 Ca
0.750 0.750 0.500 Ca
0.000 0.000 0.000 Fe
0.500 0.500 0.000 Fe
0.103 0.897 0.252 N
0.397 0.603 0.252 N
0.603 0.397 0.748 N
0.897 0.103 0.748 N